[1]
A plane-wave DFT calculation with PBE was carried out for a relaxed BaLiGdMg crystal.

Structure (POSCAR):
```
BaLiGdMg
1.0
5.773 0.000 0.000
2.886 4.999 0.000
2.886 1.666 4.713
Mg Ba Gd Li
1 1 1 1
Direct
0.500 0.500 0.500
0.250 0.250 0.250
0.750 0.750 0.750
0.000 0.000 0.000
```

Computed properties:
ΔE_f ... 0.1101 eV per atom
N(E_F) ... 7.203 states/eV per cell
Crystal system ... cubic
Uncorrected energy ... -19.07 eV/cell
Volume ... 136.0 Å³ per cell



[2]
A plane-wave DFT calculation with PBE was carried out for a relaxed PmSm5Tm3 crystal.

Structure (POSCAR):
```
PmSm5Tm3
1.0
9.112 0.000 0.000
0.000 9.112 0.000
-4.556 -4.556 7.257
Sm Tm Pm
10 6 2
Direct
0.431 0.332 0.263
0.069 0.569 0.737
0.332 0.832 0.263
0.000 0.000 0.000
0.168 0.069 0.737
0.832 0.931 0.263
0.668 0.168 0.737
0.569 0.668 0.737
0.500 0.500 0.000
0.931 0.431 0.263
0.888 0.612 0.000
0.250 0.250 0.500
0.388 0.888 0.000
0.112 0.388 0.000
0.612 0.112 0.000
0.750 0.750 0.500
0.250 0.750 0.500
0.750 0.250 0.500
```

Computed properties:
ΔE_f ... 0.3064 eV per atom
N(E_F) ... 25.933 states/eV per cell
Energy relative to the lowest polymorph listed for this composition ... 0.0231 eV/atom
Crystal system ... tetragonal
Uncorrected energy ... -78.01 eV/cell
Volume ... 602.6 Å³ per cell



[3]
A plane-wave DFT calculation with PBE was carried out for a relaxed CsMgH2 crystal.

Structure (POSCAR):
```
CsMgH2
1.0
3.455 0.000 -0.002
0.000 4.098 0.000
-1.692 0.000 5.989
H Mg Cs
2 1 1
Direct
0.540 0.000 0.724
0.915 0.500 0.469
0.937 0.000 0.520
0.204 0.500 0.036
```

Computed properties:
N(E_F) ... 1.090 states/eV per cell
Energy relative to the lowest polymorph listed for this composition ... 0.0654 eV/atom
Crystal system ... monoclinic
Uncorrected energy ... -8.92 eV/cell
Volume ... 84.8 Å³ per cell



[4]
A plane-wave DFT calculation with PBE was carried out for a relaxed Ho4Cu2Ir crystal.

Structure (POSCAR):
```
Ho4Cu2Ir
1.0
4.634 0.000 1.448
2.091 4.136 1.448
-0.065 -0.040 8.348
Cu Ho Ir
2 4 1
Direct
0.249 0.249 0.253
0.751 0.751 0.747
0.375 0.375 0.876
0.123 0.123 0.630
0.877 0.877 0.370
0.625 0.625 0.124
0.000 0.000 0.000
```

Computed properties:
ΔE_f ... -0.3609 eV per atom
N(E_F) ... 6.266 states/eV per cell
Energy relative to the lowest polymorph listed for this composition ... 0.0404 eV/atom
Crystal system ... trigonal
Uncorrected energy ... -37.89 eV/cell
Volume ... 160.5 Å³ per cell



[5]
A plane-wave DFT calculation with PBE was carried out for a relaxed KAgPt2 crystal.

Structure (POSCAR):
```
KAgPt2
1.0
2.845 0.000 0.000
0.000 5.051 0.000
0.000 0.000 5.227
Pt K Ag
2 1 1
Direct
0.000 0.000 0.000
0.500 0.500 0.000
0.000 0.500 0.500
0.500 0.000 0.500
```

Computed properties:
ΔE_f ... 0.2150 eV per atom
N(E_F) ... 2.180 states/eV per cell
Crystal system ... orthorhombic
Uncorrected energy ... -15.17 eV/cell
Volume ... 75.1 Å³ per cell



[6]
A plane-wave DFT calculation with PBE was carried out for a relaxed Mg2ZrCu crystal.

Structure (POSCAR):
```
Mg2ZrCu
1.0
4.307 0.013 -1.196
-0.346 4.293 -1.196
0.003 0.003 8.375
Mg Cu Zr
4 2 2
Direct
0.144 0.144 0.788
0.000 0.500 0.500
0.856 0.856 0.212
0.500 0.000 0.500
0.250 0.750 0.000
0.750 0.250 0.000
0.648 0.648 0.797
0.352 0.352 0.203
```

Computed properties:
ΔE_f ... -0.0875 eV per atom
N(E_F) ... 3.377 states/eV per cell
Crystal system ... tetragonal
Uncorrected energy ... -32.37 eV/cell
Volume ... 154.9 Å³ per cell



[7]
A plane-wave DFT calculation with PBE was carried out for a relaxed NiAg2PbS crystal.

Structure (POSCAR):
```
NiAg2PbS
1.0
5.345 0.000 0.000
0.000 4.819 0.000
0.000 0.000 5.345
Ni Ag Pb S
1 2 1 1
Direct
0.000 0.500 0.000
0.500 0.000 0.000
0.000 0.000 0.500
0.000 0.000 0.000
0.500 0.500 0.500
```

Computed properties:
N(E_F) ... 6.602 states/eV per cell
Crystal system ... tetragonal
Uncorrected energy ... -13.55 eV/cell
Volume ... 137.6 Å³ per cell
Raw formation energy ... 1155 meV per atom



[8]
A plane-wave DFT calculation with PBE was carried out for a relaxed TmBe3 crystal.

Structure (POSCAR):
```
TmBe3
1.0
-0.050 -1.956 -2.269
3.540 0.025 -0.100
0.129 -4.101 3.533
Be Tm
3 1
Direct
0.000 0.000 0.878
0.500 0.000 0.606
0.500 0.500 0.833
0.000 0.500 0.350
```

Computed properties:
ΔE_f ... 0.3043 eV per atom
N(E_F) ... 1.956 states/eV per cell
Crystal system ... orthorhombic
Uncorrected energy ... -14.43 eV/cell
Volume ... 57.4 Å³ per cell



[9]
A plane-wave DFT calculation with PBE was carried out for a relaxed Nd2SmTe4 crystal.

Structure (POSCAR):
```
Nd2SmTe4
1.0
4.341 0.000 0.000
-2.170 7.394 0.000
0.000 0.000 15.306
Sm Te Nd
2 8 4
Direct
0.627 0.254 0.750
0.373 0.746 0.250
0.220 0.440 0.624
0.220 0.440 0.876
0.780 0.560 0.376
0.028 0.056 0.250
0.780 0.560 0.124
0.972 0.944 0.750
0.500 0.000 0.000
0.500 0.000 0.500
0.868 0.737 0.930
0.868 0.737 0.570
0.132 0.263 0.070
0.132 0.263 0.430
```

Computed properties:
N(E_F) ... 5.619 states/eV per cell
Energy relative to the lowest polymorph listed for this composition ... 0.0134 eV/atom
Crystal system ... orthorhombic
Uncorrected energy ... -73.23 eV/cell
Volume ... 491.3 Å³ per cell
Raw formation energy ... -1399 meV per atom



[10]
A plane-wave DFT calculation with PBE was carried out for a relaxed Li2Mg3In8 crystal.

Structure (POSCAR):
```
Li2Mg3In8
1.0
-2.425 1.786 5.155
-5.694 1.786 0.160
-5.892 -9.152 3.856
In Li Mg
8 2 3
Direct
0.228 0.728 0.316
0.728 0.728 0.316
0.728 0.228 0.316
0.272 0.272 0.684
0.717 0.717 0.850
0.772 0.272 0.684
0.272 0.772 0.684
0.283 0.283 0.150
0.635 0.635 0.096
0.365 0.365 0.904
0.185 0.185 0.444
0.000 0.000 0.000
0.815 0.815 0.556
```

Computed properties:
ΔE_f ... 0.0462 eV per atom
N(E_F) ... 5.604 states/eV per cell
Energy relative to the lowest polymorph listed for this composition ... 0.1150 eV/atom
Crystal system ... trigonal
Uncorrected energy ... -29.92 eV/cell
Volume ... 340.2 Å³ per cell



[11]
A plane-wave DFT calculation with PBE was carried out for a relaxed Ce3Al6Pt4 crystal.

Structure (POSCAR):
```
Ce3Al6Pt4
1.0
4.289 0.000 0.000
0.000 13.748 0.000
0.000 0.000 17.384
Pt Al Ce
16 24 12
Direct
0.750 0.624 0.510
0.750 0.924 0.574
0.250 0.151 0.676
0.250 0.576 0.074
0.250 0.076 0.426
0.750 0.849 0.324
0.250 0.376 0.490
0.250 0.651 0.824
0.750 0.917 0.811
0.250 0.583 0.311
0.250 0.876 0.010
0.750 0.349 0.176
0.750 0.424 0.926
0.750 0.124 0.990
0.750 0.417 0.689
0.250 0.083 0.189
0.250 0.830 0.870
0.750 0.246 0.888
0.250 0.254 0.388
0.250 0.528 0.934
0.750 0.043 0.690
0.750 0.170 0.130
0.250 0.268 0.227
0.750 0.945 0.956
0.250 0.555 0.456
0.750 0.732 0.773
0.250 0.330 0.630
0.750 0.472 0.066
0.750 0.746 0.612
0.750 0.670 0.370
0.250 0.028 0.566
0.750 0.972 0.434
0.750 0.543 0.810
0.250 0.457 0.190
0.250 0.768 0.273
0.750 0.232 0.727
0.750 0.445 0.544
0.250 0.055 0.044
0.250 0.957 0.310
0.250 0.754 0.112
0.250 0.300 0.026
0.750 0.700 0.974
0.750 0.629 0.195
0.250 0.800 0.474
0.250 0.575 0.653
0.750 0.129 0.305
0.250 0.075 0.847
0.750 0.425 0.347
0.250 0.371 0.805
0.250 0.871 0.695
0.750 0.200 0.526
0.750 0.925 0.153
```

Computed properties:
ΔE_f ... -0.9890 eV per atom
N(E_F) ... 66.244 states/eV per cell
Crystal system ... orthorhombic
Uncorrected energy ... -309.11 eV/cell
Volume ... 1025.1 Å³ per cell